Material: La2ThIr2I2
Method: DFT, PBE
State: optimized geometry

Summary:
Uncorrected formation energy = -5.72 eV/f.u.
E = -6.26 eV per atom
Magnetization = 0.00 μB per formula unit
Density = 8.0 g/cm³
Space group = I4/mmm

Unit cell a=5.2788 b=5.2788 c=17.0188 alpha=90.00 beta=90.00 gamma=90.00
With the nearest neighbours (Å) after each atom.
Sites, in units of the cell vectors:
La  0.0000  0.0000  0.1050  4 Ir 3.19, 1 I 3.40
La  0.0000  0.0000  0.8950  4 Ir 3.19, 1 I 3.40
La  0.5000  0.5000  0.3950  4 Ir 3.19, 1 I 3.40
La  0.5000  0.5000  0.6050  4 Ir 3.19, 1 I 3.40
Th  0.0000  0.0000  0.5000  4 Ir 2.64
Th  0.5000  0.5000  0.0000  4 Ir 2.64
Ir  0.0000  0.5000  0.0000  2 Th 2.64
Ir  0.0000  0.5000  0.5000  2 Th 2.64
Ir  0.5000  0.0000  0.0000  2 Th 2.64
Ir  0.5000  0.0000  0.5000  2 Th 2.64
I  0.0000  0.0000  0.3046  1 Th 3.33, 1 La 3.40
I  0.0000  0.0000  0.6954  1 Th 3.33, 1 La 3.40
I  0.5000  0.5000  0.1954  1 Th 3.33, 1 La 3.40
I  0.5000  0.5000  0.8046  1 Th 3.33, 1 La 3.40